A plane-wave DFT calculation with PBEsol was carried out for K3NaW2O8 after structural relaxation.

Unit cell a=10.411 b=6.036 c=15.203 alpha=90.00 beta=90.92 gamma=90.00
Space group C2/c (No. 15)
One atom of each set of equivalent atoms:
K 0.000 0.067 0.250 [4 per cell]
K 0.171 0.472 0.915 [8 per cell]
Na 0.000 0.000 0.000 [4 per cell]
W 0.163 0.474 0.639 [8 per cell]
O 0.069 0.226 0.626 [8 per cell]
O 0.082 0.311 0.079 [8 per cell]
O 0.180 0.434 0.251 [8 per cell]
O 0.185 0.062 0.412 [8 per cell]

- calculated total energy (eV/atom) = -7.45
- formation energy from raw total energies (eV per atom) = -2.138
- magnetization (μB per atom) = 0.0001

---

A plane-wave DFT calculation with PBEsol was carried out for K2NaOs after structural relaxation.

Unit cell a=7.804 b=7.804 c=7.804 alpha=90.00 beta=90.00 gamma=90.00
Space group Fm-3m (No. 225)
One atom of each set of equivalent atoms:
K 0.250 0.250 0.250 [8 per cell]
Na 0.000 0.000 0.000 [4 per cell]
Os 0.000 0.000 0.500 [4 per cell]

- calculated total energy (eV/atom) = -2.52
- magnetization (μB per atom) = 0.3772

---

A plane-wave DFT calculation with PBEsol was carried out for K2NaP2 after structural relaxation.

Unit cell a=4.694 b=4.694 c=13.030 alpha=90.00 beta=90.00 gamma=90.00
Space group I4/mmm (No. 139)
One atom of each set of equivalent atoms:
K 0.000 0.500 0.250 [4 per cell]
Na 0.000 0.000 0.000 [2 per cell]
P 0.000 0.000 0.418 [4 per cell]

- energy relative to the lowest polymorph listed for this composition (meV/atom) = 202.3
- calculated total energy (eV/atom) = -3.11
- magnetization (μB per atom) = 0.0003

---

Number 1: density 4.422 g/cm3. Number 2: density 4.073 g/cm3. Number 3: density 1.887 g/cm3.